Record 1
Compound: InTcSnW2
Source: Alexandria via LeMat-Bulk
Functional: PBE-GGA
Structure: relaxed

a b c (Å): 4.9574 4.9574 5.1106
angles (deg): 90.00 90.00 90.00
Positions (direct):
1 In 0.0000 0.0000 0.0000
2 Tc 0.5000 0.5000 0.0000
3 Sn 0.0000 0.0000 0.5000
4 W 0.0000 0.5000 0.5000
5 W 0.5000 0.0000 0.5000

Properties
The value obtained for the total energy is -29.305 eV per cell. Its space-group type is No. 123.

Record 2
Compound: In3SnTe4
Source: Alexandria via LeMat-Bulk
Functional: PBE-GGA
Structure: relaxed

a b c (Å): 6.3141 12.6364 6.3138
angles (deg): 90.00 90.00 90.00
Positions (direct):
1 In 0.2500 0.0000 0.2496
2 In 0.2500 0.2500 0.7490
3 In 0.2500 0.5000 0.2496
4 In 0.7500 0.0000 0.7504
5 In 0.7500 0.5000 0.7504
6 In 0.7500 0.7500 0.2510
7 Sn 0.2500 0.7500 0.7502
8 Sn 0.7500 0.2500 0.2498
9 Te 0.2500 0.0014 0.7496
10 Te 0.2500 0.2500 0.2491
11 Te 0.2500 0.4986 0.7496
12 Te 0.2500 0.7500 0.2502
13 Te 0.7500 0.2500 0.7498
14 Te 0.7500 0.5014 0.2504
15 Te 0.7500 0.7500 0.7509
16 Te 0.7500 0.9986 0.2504

Properties
The value obtained for the energy relative to the elements, uncorrected is -0.276 eV per atom. Its space-group type is No. 59.

Record 3
Compound: InSn2Te4
Source: Alexandria via LeMat-Bulk
Functional: PBE-GGA
Structure: relaxed

a b c (Å): 8.5493 8.5493 8.5493
angles (deg): 139.96 139.96 57.91
Positions (direct):
1 In 0.0000 0.0000 0.0000
2 Sn 0.3918 0.3918 0.0000
3 Sn 0.6082 0.6082 0.0000
4 Te 0.0000 0.5000 0.5000
5 Te 0.2047 0.2047 0.0000
6 Te 0.5000 0.0000 0.5000
7 Te 0.7953 0.7953 0.0000

Properties
The value obtained for the energy relative to the elements, uncorrected is 0.088 eV per atom. Its space-group type is No. 139.

The following Fermi-level density of states values (in states/eV per cell) correspond, in order, to the records above: 6.021 7.712 6.359.